No. 1
Zr2FeTc | Alexandria via LeMat-Bulk | GGA-PBEsol | relaxed; formation energy = 0.31 eV per atom; DOS(E_F) = 5.11 states/eV/f.u.; space-group type = R3m (160)
1.0
2.8854 0.0000 0.0000
1.4427 2.4988 0.0000
1.4427 0.8329 9.3895
Tc Zr Fe
1 2 1
Direct
0.2388 0.2388 0.2835
0.9930 0.9930 0.0210
0.7604 0.7604 0.7189
0.5078 0.5078 0.4767



No. 2
Zr2FeTc | Alexandria via LeMat-Bulk | GGA-PBEsol | relaxed; formation energy = 0.15 eV per atom; DOS(E_F) = 3.96 states/eV/f.u.; space-group type = Pmm2 (25)
1.0
3.1586 0.0000 0.0000
0.0000 4.0197 0.0000
0.0000 0.0000 5.3950
Tc Zr Fe
1 2 1
Direct
0.5000 0.5000 0.7866
0.0000 0.0000 0.9461
0.5000 0.5000 0.3043
0.0000 0.0000 0.4630



No. 3
Zr2FeTc | Alexandria via LeMat-Bulk | GGA-PBEsol | relaxed; formation energy = -0.28 eV per atom; DOS(E_F) = 3.56 states/eV/f.u.; space-group type = P4/mmm (123)
1.0
3.1883 0.0000 0.0000
0.0000 3.1883 0.0000
0.0000 0.0000 6.3662
Fe Zr Tc
1 2 1
Direct
0.5000 0.5000 0.0000
0.0000 0.0000 0.7551
0.0000 0.0000 0.2449
0.5000 0.5000 0.5000



No. 4
Zr2FeTc | Alexandria via LeMat-Bulk | GGA-PBEsol | relaxed; formation energy = -0.28 eV per atom; DOS(E_F) = 3.78 states/eV/f.u.; space-group type = Fm-3m (225)
1.0
4.5072 0.0000 0.0000
2.2536 3.9033 0.0000
2.2536 1.3011 3.6801
Zr Fe Tc
2 1 1
Direct
0.2500 0.2500 0.2500
0.7500 0.7500 0.7500
0.0000 0.0000 0.0000
0.5000 0.5000 0.5000



No. 5
FeTe2 | Alexandria via LeMat-Bulk | GGA-PBEsol | relaxed; formation energy (no corrections) = -0.254 eV per atom; DOS(E_F) = 0.15 states/eV/f.u.; space-group type = Pnnm (58)
1.0
-2.1496 2.7834 -1.5212
-3.8930 -3.3434 -0.6164
-2.1144 1.4290 5.6024
Te Fe
4 2
Direct
0.0000 0.2283 0.3604
0.0000 0.7717 0.6396
0.5000 0.2717 0.8604
0.5000 0.7283 0.1396
0.0000 0.0000 0.0000
0.5000 0.5000 0.5000



No. 6
FeTe2 | Alexandria via LeMat-Bulk | GGA-PBEsol | relaxed; formation energy (no corrections) = -0.217 eV per atom; DOS(E_F) = 2.98 states/eV/f.u.; space-group type = Pa-3 (205)
1.0
-2.7552 -3.0538 4.6014
2.1553 -5.3290 -2.2462
5.0846 0.6042 3.4455
Te Fe
8 4
Direct
0.1329 0.6329 0.8671
0.6329 0.8671 0.1329
0.3671 0.3671 0.3671
0.8671 0.3671 0.1329
0.6329 0.6329 0.6329
0.3671 0.1329 0.8671
0.1329 0.8671 0.3671
0.8671 0.1329 0.6329
0.0000 0.0000 0.0000
0.5000 0.0000 0.5000
0.5000 0.5000 0.0000
0.0000 0.5000 0.5000



No. 7
FeTe2 | Alexandria via LeMat-Bulk | GGA-PBEsol | relaxed; formation energy (no corrections) = 0.189 eV per atom; DOS(E_F) = 1.88 states/eV/f.u.; space-group type = I4/mmm (139)
1.0
-2.8709 1.3062 -0.1912
-0.7242 -1.1756 2.8423
4.0588 5.3147 1.4758
Fe Te
1 2
Direct
0.0000 0.0000 0.0000
0.6249 0.6249 0.2499
0.3751 0.3751 0.7501



No. 8
Fe3Te | Alexandria via LeMat-Bulk | GGA-PBEsol | relaxed; formation energy (no corrections) = 0.324 eV per atom; DOS(E_F) = 4.45 states/eV/f.u.; space-group type = P4/mmm (123)
1.0
-2.3733 -1.7214 1.2368
1.4490 0.0371 2.8321
-2.6310 4.5516 1.2864
Fe Te
3 1
Direct
0.5000 0.5000 0.2700
0.5000 0.5000 0.7300
0.0000 0.0000 0.5000
0.0000 0.0000 0.0000